Below is an optimized crystal structure of Tl2SnPb5, with properties calculated at the GGA-PBE level.

Cell: 7.275 7.275 5.842 Å, 90.00 90.00 90.00°
Space group P4/mmm (No. 123)
Inequivalent atoms, fractional coordinates:
Tl 0.000 0.500 0.000 [2 per cell]
Sn 0.000 0.000 0.500 [1 per cell]
Pb 0.000 0.000 0.000 [1 per cell]
Pb 0.288 0.288 0.500 [4 per cell]

Results
For the final energy, the calculation gives -3.114 eV per atom. As for the magnetization: 0.0 μB/cell. The calculation puts the calculated density at 8.4 g cm⁻³. The calculated formation energy comes out at 28 kJ per mole of atoms. The excess energy over the best structure of this formula in the dataset comes out at 244 meV/atom.

---

Below is an optimized crystal structure of TlSnPb14, with properties calculated at the GGA-PBE level.

Cell: 7.189 7.189 9.694 Å, 90.00 90.00 90.00°
Space group P4/mmm (No. 123)
Inequivalent atoms, fractional coordinates:
Tl 0.000 0.000 0.000 [1 per cell]
Sn 0.500 0.500 0.000 [1 per cell]
Pb 0.000 0.000 0.500 [1 per cell]
Pb 0.000 0.500 0.000 [2 per cell]
Pb 0.000 0.500 0.500 [2 per cell]
Pb 0.252 0.252 0.248 [8 per cell]
Pb 0.500 0.500 0.500 [1 per cell]

Results
For the final energy, the calculation gives -3.637 eV per atom. As for the magnetization: 0.0 μB/cell. The calculation puts the calculated density at 10.7 g cm⁻³. The calculated formation energy comes out at 1 kJ per mole of atoms.

---

Below is an optimized crystal structure of Tl6SnPb8, with properties calculated at the GGA-PBE level.

Cell: 9.0984 9.0984 6.9611 Å, 90.00 90.00 120.00°
Space group P-3 (No. 147)
Inequivalent atoms, fractional coordinates:
Tl 0.0782 0.6857 0.0965 [6 per cell]
Sn 0.0000 0.0000 0.0000 [1 per cell]
Pb 0.0220 0.3396 0.4055 [6 per cell]
Pb 0.3333 0.6667 0.7113 [2 per cell]

Results
For the final energy, the calculation gives -3.081 eV per atom. As for the magnetization: 0.0 μB/cell. The calculation puts the calculated density at 10.0 g cm⁻³. The calculated formation energy comes out at 11 kJ per mole of atoms.